[1]
Entry from Alexandria via LeMat-Bulk: a geometry-optimized CdAsAuSe2 structure (PBE).

Electronic total energy, Ry per atom: -0.191
Symmetry: P4/mmm
Formation energy from raw total energies, eV/f.u.: 2.84
D(E_F), states/eV per atom: 0.849

Cell: 5.2600 5.2600 4.8520 Å, 90.00 90.00 90.00°
Atoms (fractional coordinates):
Cd  0.0000  0.0000  0.0000
As  0.5000  0.5000  0.0000
Au  0.5000  0.5000  0.5000
Se  0.0000  0.5000  0.5000
Se  0.5000  0.0000  0.5000

***

[2]
Entry from Alexandria via LeMat-Bulk: a geometry-optimized YScTl2Se4 structure (PBE).

Electronic total energy, Ry per atom: -0.386
Symmetry: P2/m
Formation energy from raw total energies, eV/f.u.: -10.55

Cell: 7.0772 4.0870 8.0998 Å, 90.00 106.90 90.00°
Atoms (fractional coordinates):
Y  0.0000  0.0000  0.0000
Sc  0.5000  0.5000  0.0000
Tl  0.0000  0.5000  0.5000
Tl  0.5000  0.0000  0.5000
Se  0.2455  0.5000  0.2022
Se  0.2789  0.0000  0.8031
Se  0.7211  0.0000  0.1969
Se  0.7545  0.5000  0.7978

***

[3]
Entry from Alexandria via LeMat-Bulk: a geometry-optimized BaCd2Pb structure (PBE).

Electronic total energy, Ry per atom: -0.153
Symmetry: P2/m
Energy of formation, eV per atom: -0.217
D(E_F), states/eV per atom: 0.654

Cell: 3.9948 5.3564 6.2840 Å, 90.00 90.11 90.00°
Atoms (fractional coordinates):
Ba  0.0000  0.0000  0.0000
Cd  0.4969  0.5000  0.7555
Cd  0.5031  0.5000  0.2445
Pb  0.5000  0.0000  0.5000

***

[4]
Entry from Alexandria via LeMat-Bulk: a geometry-optimized TiPdS2F structure (PBE).

Electronic total energy, Ry per atom: -0.354
Symmetry: P4/mmm
Formation energy from raw total energies, eV/f.u.: -0.87
D(E_F), states/eV per atom: 0.748

Cell: 4.5182 4.5182 5.1204 Å, 90.00 90.00 90.00°
Atoms (fractional coordinates):
Ti  0.0000  0.0000  0.0000
Pd  0.0000  0.0000  0.5000
S  0.0000  0.5000  0.0000
S  0.5000  0.0000  0.0000
F  0.5000  0.5000  0.5000

***

[5]
Entry from Alexandria via LeMat-Bulk: a geometry-optimized Tm3In3HgIr2 structure (PBE).

Electronic total energy, Ry per atom: -0.367
Symmetry: P-62m
Energy of formation, eV per atom: -0.588
D(E_F), states/eV per atom: 0.423

Cell: 7.8987 7.8987 3.6402 Å, 90.00 90.00 120.00°
Atoms (fractional coordinates):
Tm  0.0000  0.3998  0.0000
Tm  0.3998  0.0000  0.0000
Tm  0.6002  0.6002  0.0000
In  0.0000  0.7119  0.5000
In  0.2881  0.2881  0.5000
In  0.7119  0.0000  0.5000
Hg  0.0000  0.0000  0.0000
Ir  0.3333  0.6667  0.5000
Ir  0.6667  0.3333  0.5000

***

[6]
Entry from Alexandria via LeMat-Bulk: a geometry-optimized ReHg structure (PBE).

Electronic total energy, Ry per atom: -0.383
Symmetry: P4/mmm
Energy of formation, eV per atom: 1.159
D(E_F), states/eV per atom: 1.147

Cell: 2.7787 2.7787 4.5980 Å, 90.00 90.00 90.00°
Atoms (fractional coordinates):
Re  0.0000  0.0000  0.0000
Hg  0.5000  0.5000  0.5000

***

Ρ for every record listed, in sequence, given in g/cm³: 6.71; 6.36; 7.03; 3.77; 12.13; 18.09.